Crystalline NaCoGe2O6 at its relaxed geometry, computed with PBE+U.

POSCAR file:
```
NaCoGe2O6
1.0
5.019 -4.392 0.000
5.019 4.392 0.000
-1.621 0.000 5.205
Na Co Ge O
2 2 4 12
Cartesian
3.804 2.669 3.904 Na
4.614 -2.669 1.301 Na
4.614 0.851 1.301 Co
3.804 -0.851 3.904 Co
0.885 0.843 4.049 Ge
1.695 -0.843 1.447 Ge
6.722 0.843 3.758 Ge
7.532 -0.843 1.155 Ge
-0.254 0.105 5.177 O
3.050 1.948 1.588 O
0.557 -0.105 2.575 O
2.567 0.752 4.557 O
6.178 1.948 1.015 O
3.378 -0.752 1.955 O
5.040 0.752 3.250 O
2.240 -1.948 4.190 O
5.850 -0.752 0.648 O
7.861 0.105 2.630 O
5.368 -1.948 3.617 O
8.671 -0.105 0.028 O
```

Calculated values
ρ (g/cm³): 4.7
E (eV/cell): -120.719